# WAu2 GGA-PBE optimized geometry
# Crystal system   cubic
# Energy of formation from the pure elements   358 kJ/mol of formula units
# Total moment   0.773 Bohr magnetons per cell
data_WAu2
_chemical_formula_sum 'W4 Au8'
_space_group_name_H-M_alt 'P a -3'
_space_group_IT_number 205
_space_group_name_Hall '-P 2ac 2ab 3'
_cell_length_a 6.3406
_cell_length_b 6.3406
_cell_length_c 6.3406
_cell_angle_alpha 90.00
_cell_angle_beta 90.00
_cell_angle_gamma 90.00
loop_
_atom_site_label
_atom_site_type_symbol
_atom_site_fract_x
_atom_site_fract_y
_atom_site_fract_z
W1 W 0.0000 0.0000 0.0000
Au1 Au 0.1292 0.6292 0.8708

***

# U2PaAlC4 GGA-PBE optimized geometry
# Crystal system   orthorhombic
# Energy of formation from the pure elements   -77 kJ/mol of formula units
# Total moment   9.673 Bohr magnetons per cell
data_U2PaAlC4
_chemical_formula_sum 'U8 Pa4 Al4 C16'
_space_group_name_H-M_alt 'C m c m'
_space_group_IT_number 63
_space_group_name_Hall '-C 2c 2'
_cell_length_a 3.5216
_cell_length_b 11.2848
_cell_length_c 11.7239
_cell_angle_alpha 90.00
_cell_angle_beta 90.00
_cell_angle_gamma 90.00
loop_
_atom_site_label
_atom_site_type_symbol
_atom_site_fract_x
_atom_site_fract_y
_atom_site_fract_z
U1 U 0.0000 0.1286 0.0513
Pa1 Pa 0.0000 0.3877 0.2500
Al1 Al 0.0000 0.3474 0.7500
C1 C 0.0000 0.0510 0.2500
C2 C 0.0000 0.2315 0.6228
C3 C 0.0000 0.5000 0.0000

***

# Pu3P2 GGA-PBE optimized geometry
# Crystal system   orthorhombic
# Energy of formation from the pure elements   -336 kJ/mol of formula units
# Energy above the lowest structure with this stoichiometry   46 meV/atom
# Total moment   23.464 Bohr magnetons per cell
data_Pu3P2
_chemical_formula_sum 'Pu12 P8'
_space_group_name_H-M_alt 'C m c m'
_space_group_IT_number 63
_space_group_name_Hall '-C 2c 2'
_cell_length_a 3.7571
_cell_length_b 14.1616
_cell_length_c 8.4252
_cell_angle_alpha 90.00
_cell_angle_beta 90.00
_cell_angle_gamma 90.00
loop_
_atom_site_label
_atom_site_type_symbol
_atom_site_fract_x
_atom_site_fract_y
_atom_site_fract_z
Pu1 Pu 0.0000 0.0386 0.2500
Pu2 Pu 0.0000 0.1579 0.5640
P1 P 0.0000 0.2355 0.2500
P2 P 0.0000 0.5000 0.0000

***

# TiAlPd3 GGA-PBE optimized geometry
# Crystal system   triclinic
# Energy of formation from the pure elements   -356 kJ/mol of formula units
# Energy above the lowest structure with this stoichiometry   0 meV/atom
# Total moment   0.000 Bohr magnetons per cell
data_TiAlPd3
_chemical_formula_sum 'Ti2 Al2 Pd6'
_space_group_name_H-M_alt 'P -1'
_space_group_IT_number 2
_cell_length_a 4.5206
_cell_length_b 4.5257
_cell_length_c 7.7766
_cell_angle_alpha 73.10
_cell_angle_beta 88.98
_cell_angle_gamma 86.58
loop_
_space_group_symop_operation_xyz
'x,y,z'
'-x,-y,-z'
loop_
_atom_site_label
_atom_site_type_symbol
_atom_site_fract_x
_atom_site_fract_y
_atom_site_fract_z
Ti1 Ti 0.2502 0.1439 0.2103
Al1 Al 0.2498 0.3542 0.7903
Pd1 Pd 0.2494 0.7486 0.0006
Pd2 Pd 0.2503 0.5579 0.3822
Pd3 Pd 0.2498 0.9415 0.6156

***

# Sc6In2B GGA-PBE optimized geometry
# Crystal system   cubic
# Energy of formation from the pure elements   -361 kJ/mol of formula units
# Total moment   0.001 Bohr magnetons per cell
data_Sc6In2B
_chemical_formula_sum 'Sc24 In8 B4'
_space_group_name_H-M_alt 'F m -3 m'
_space_group_IT_number 225
_space_group_name_Hall '-F 4 2 3'
_cell_length_a 9.2221
_cell_length_b 9.2221
_cell_length_c 9.2221
_cell_angle_alpha 90.00
_cell_angle_beta 90.00
_cell_angle_gamma 90.00
loop_
_atom_site_label
_atom_site_type_symbol
_atom_site_fract_x
_atom_site_fract_y
_atom_site_fract_z
Sc1 Sc 0.0000 0.0000 0.2482
In1 In 0.2500 0.2500 0.2500
B1 B 0.0000 0.0000 0.0000

***

# AlTeRh2 GGA-PBE optimized geometry
# Crystal system   monoclinic
# Formation energy from raw total energies   -0.435 eV per atom
# Energy above the lowest structure with this stoichiometry   0 meV/atom
# Total moment   0.000 Bohr magnetons per cell
data_AlTeRh2
_chemical_formula_sum 'Al1 Te1 Rh2'
_space_group_name_H-M_alt 'P 1 2/m 1'
_space_group_IT_number 10
_cell_length_a 3.1080
_cell_length_b 3.0792
_cell_length_c 6.8048
_cell_angle_alpha 90.00
_cell_angle_beta 90.17
_cell_angle_gamma 90.00
loop_
_space_group_symop_operation_xyz
'x,y,z'
'-x,-y,-z'
'-x,y,-z'
'x,-y,z'
loop_
_atom_site_label
_atom_site_type_symbol
_atom_site_fract_x
_atom_site_fract_y
_atom_site_fract_z
Al1 Al 0.0000 0.0000 0.0000
Te1 Te 0.0000 0.0000 0.5000
Rh1 Rh 0.4980 0.5000 0.7858

***

# CoRuBr GGA-PBE optimized geometry
# Crystal system   cubic
# Formation energy from raw total energies   0.931 eV per atom
# Energy above the lowest structure with this stoichiometry   216 meV/atom
# Total moment   0.215 Bohr magnetons per cell
data_CoRuBr
_chemical_formula_sum 'Co4 Ru4 Br4'
_space_group_name_H-M_alt 'F -4 3 m'
_space_group_IT_number 216
_space_group_name_Hall 'F -4 2 3'
_cell_length_a 5.8669
_cell_length_b 5.8669
_cell_length_c 5.8669
_cell_angle_alpha 90.00
_cell_angle_beta 90.00
_cell_angle_gamma 90.00
loop_
_atom_site_label
_atom_site_type_symbol
_atom_site_fract_x
_atom_site_fract_y
_atom_site_fract_z
Co1 Co 0.0000 0.0000 0.0000
Ru1 Ru 0.2500 0.2500 0.2500
Br1 Br 0.0000 0.0000 0.5000

***

# ScSi2I GGA-PBE optimized geometry
# Crystal system   tetragonal
# Formation energy from raw total energies   0.193 eV per atom
# Energy above the lowest structure with this stoichiometry   0 meV/atom
# Total moment   0.000 Bohr magnetons per cell
data_ScSi2I
_chemical_formula_sum 'Sc4 Si8 I4'
_space_group_name_H-M_alt 'I -4 2 d'
_space_group_IT_number 122
_space_group_name_Hall 'I -4 2bw'
_cell_length_a 4.1338
_cell_length_b 4.1338
_cell_length_c 22.2598
_cell_angle_alpha 90.00
_cell_angle_beta 90.00
_cell_angle_gamma 90.00
loop_
_atom_site_label
_atom_site_type_symbol
_atom_site_fract_x
_atom_site_fract_y
_atom_site_fract_z
Sc1 Sc 0.0000 0.0000 0.0000
Si1 Si 0.1397 0.2500 0.1250
I1 I 0.0000 0.0000 0.5000

***

# Tb2Tm2Cu GGA-PBE optimized geometry
# Crystal system   tetragonal
# Energy of formation from the pure elements   -42 kJ/mol of formula units
# Total moment   0.000 Bohr magnetons per cell
data_Tb2Tm2Cu
_chemical_formula_sum 'Tb4 Tm4 Cu2'
_space_group_name_H-M_alt 'I 4/m m m'
_space_group_IT_number 139
_space_group_name_Hall '-I 4 2'
_cell_length_a 3.4668
_cell_length_b 3.4668
_cell_length_c 22.4009
_cell_angle_alpha 90.00
_cell_angle_beta 90.00
_cell_angle_gamma 90.00
loop_
_atom_site_label
_atom_site_type_symbol
_atom_site_fract_x
_atom_site_fract_y
_atom_site_fract_z
Tb1 Tb 0.0000 0.0000 0.1935
Tm1 Tm 0.0000 0.0000 0.4253
Cu1 Cu 0.0000 0.0000 0.0000

***

# Nb2CoGe GGA-PBE optimized geometry
# Crystal system   tetragonal
# Energy of formation from the pure elements   47 kJ/mol of formula units
# Total moment   0.000 Bohr magnetons per cell
data_Nb2CoGe
_chemical_formula_sum 'Nb8 Co4 Ge4'
_space_group_name_H-M_alt 'I -4 2 d'
_space_group_IT_number 122
_space_group_name_Hall 'I -4 2bw'
_cell_length_a 6.9303
_cell_length_b 6.9303
_cell_length_c 5.5098
_cell_angle_alpha 90.00
_cell_angle_beta 90.00
_cell_angle_gamma 90.00
loop_
_atom_site_label
_atom_site_type_symbol
_atom_site_fract_x
_atom_site_fract_y
_atom_site_fract_z
Nb1 Nb 0.2254 0.2500 0.1250
Co1 Co 0.0000 0.0000 0.0000
Ge1 Ge 0.0000 0.0000 0.5000

***

# ZnPt2 GGA-PBE optimized geometry
# Crystal system   trigonal
# Energy of formation from the pure elements   -103 kJ/mol of formula units
# Total moment   0.000 Bohr magnetons per cell
data_ZnPt2
_chemical_formula_sum 'Zn1 Pt2'
_space_group_name_H-M_alt 'P -3 m 1'
_space_group_IT_number 164
_space_group_name_Hall '-P 3 2"'
_cell_length_a 2.8205
_cell_length_b 2.8205
_cell_length_c 6.5756
_cell_angle_alpha 90.00
_cell_angle_beta 90.00
_cell_angle_gamma 120.00
loop_
_atom_site_label
_atom_site_type_symbol
_atom_site_fract_x
_atom_site_fract_y
_atom_site_fract_z
Zn1 Zn 0.0000 0.0000 0.0000
Pt1 Pt 0.3333 0.6667 0.6837

***

# SrTl2NiAu GGA-PBE optimized geometry
# Crystal system   tetragonal
# Energy of formation from the pure elements   -76 kJ/mol of formula units
# Total moment   0.000 Bohr magnetons per cell
data_SrTl2NiAu
_chemical_formula_sum 'Sr1 Tl2 Ni1 Au1'
_space_group_name_H-M_alt 'P 4/m m m'
_space_group_IT_number 123
_space_group_name_Hall '-P 4 2'
_cell_length_a 5.0098
_cell_length_b 5.0098
_cell_length_c 5.2017
_cell_angle_alpha 90.00
_cell_angle_beta 90.00
_cell_angle_gamma 90.00
loop_
_atom_site_label
_atom_site_type_symbol
_atom_site_fract_x
_atom_site_fract_y
_atom_site_fract_z
Sr1 Sr 0.0000 0.0000 0.0000
Tl1 Tl 0.0000 0.5000 0.5000
Ni1 Ni 0.5000 0.5000 0.5000
Au1 Au 0.5000 0.5000 0.0000

***

| no. | final energy (eV per atom) | N(E_F) (states/eV/atom) |
| --- | --- | --- |
| 1 | -5.267 | 1.1250 |
| 2 | -9.189 | 1.1847 |
| 3 | -11.459 | 4.3338 |
| 4 | -6.181 | 0.6093 |
| 5 | -5.987 | 0.6018 |
| 6 | -5.831 | 0.6786 |
| 7 | -5.087 | 1.0403 |
| 8 | -4.489 | 0.9267 |
| 9 | -4.548 | 1.1646 |
| 10 | -7.844 | 0.8415 |
| 11 | -4.806 | 0.6698 |
| 12 | -3.252 | 0.4989 |